# 1
Entry from the Alexandria database: a geometry-optimized Be2CuP structure (GGA-PBE).

Calculated values
Space-group type: No. 123
ΔH_f (0 K): 0.25 eV/atom
Crystal system: tetragonal

a = 2.478 Å, b = 2.478 Å, c = 6.997 Å
α = 90.00°, β = 90.00°, γ = 90.00°
Positions (direct):
P 0.500 0.500 0.750
Cu 0.500 0.500 0.250
Be 0.000 0.000 0.025
Be 0.000 0.000 0.475


# 2
Entry from the Alexandria database: a geometry-optimized K2MnGeS4 structure (GGA-PBE).

Calculated values
Space-group type: No. 70
Crystal system: orthorhombic
Energy relative to the elements, uncorrected: -6.5 eV/f.u.

a = 5.857 Å, b = 7.298 Å, c = 12.081 Å
α = 84.42°, β = 75.97°, γ = 66.34°
Each line ends with the local moment (μB).
Positions (direct):
K 0.182 0.000 0.637  0.00
K 0.818 0.000 0.363  0.00
K 0.568 0.500 0.863  0.00
K 0.932 0.500 0.137  0.00
Mn 0.750 0.500 0.500  4.11
Mn 0.000 0.000 0.000  4.11
Ge 0.250 0.500 0.500  0.02
Ge 0.500 0.000 0.000  0.02
S 0.317 0.803 0.105  0.06
S 0.225 0.197 0.895  0.06
S 0.880 0.803 0.895  0.06
S 0.579 0.197 0.105  0.06
S 0.433 0.697 0.395  0.06
S 0.525 0.303 0.605  0.06
S 0.870 0.697 0.605  0.06
S 0.171 0.303 0.395  0.06